[1]
InAs2Os | SCAN | single point on PBEsol structure

Lattice parameters (Å, degrees): 3.0161 3.8263 7.5385 91.91 90.00 113.21
Fractional coordinates of all 4 atoms:
As  0.7901  0.5802  0.8176
As  0.2099  0.4198  0.1824
Os  0.5000  0.0000  0.0000
In  0.0000  0.0000  0.5000

The space-group type is C2/m. The value obtained for the formation energy is 103 meV/atom. For the density of states at the Fermi level, the calculation gives 1.93 states/eV/f.u.



[2]
Be4FeMo | SCAN | single point on PBEsol structure

Lattice parameters (Å, degrees): 4.2560 4.2560 4.2560 60.00 60.00 60.00
Fractional coordinates of all 6 atoms:
Be  0.3741  0.3741  0.3741
Be  0.3741  0.8777  0.3741
Be  0.3741  0.3741  0.8777
Be  0.8777  0.3741  0.3741
Mo  0.0000  0.0000  0.0000
Fe  0.7500  0.7500  0.7500

The space-group type is F-43m. The value obtained for the formation energy is -175 meV/atom. For the density of states at the Fermi level, the calculation gives 1.50 states/eV/f.u.



[3]
Sr2BeFe | SCAN | single point on PBEsol structure

Lattice parameters (Å, degrees): 3.8608 4.4465 7.0796 108.30 105.82 90.00
Fractional coordinates of all 4 atoms:
Sr  0.9973  0.9973  0.9946
Sr  0.7555  0.2555  0.5111
Fe  0.1615  0.6615  0.3231
Be  0.5856  0.5856  0.1713

The space-group type is Imm2. The value obtained for the formation energy is 443 meV/atom. For the density of states at the Fermi level, the calculation gives 1.34 states/eV/f.u.



[4]
Pt2PbCl | SCAN | single point on PBEsol structure

Lattice parameters (Å, degrees): 4.6765 4.6765 4.6765 60.00 60.00 60.00
Fractional coordinates of all 4 atoms:
Pb  0.5000  0.5000  0.5000
Pt  0.7500  0.7500  0.7500
Pt  0.2500  0.2500  0.2500
Cl  0.0000  0.0000  0.0000

The space-group type is Fm-3m. For the density of states at the Fermi level, the calculation gives 1.01 states/eV/f.u. Its uncorrected energy is -55.6251 eV/atom.



[5]
CdTeMo | SCAN | single point on PBEsol structure

Lattice parameters (Å, degrees): 4.5361 4.5361 4.5361 60.00 60.00 60.00
Fractional coordinates of all 3 atoms:
Cd  0.5000  0.5000  0.5000
Mo  0.2500  0.2500  0.2500
Te  0.0000  0.0000  0.0000

The space-group type is F-43m. For the density of states at the Fermi level, the calculation gives 1.53 states/eV/f.u. Its uncorrected energy is -33.5550 eV/atom.



[6]
NaSn2BiO | SCAN | single point on PBEsol structure

Lattice parameters (Å, degrees): 3.9042 5.6104 5.6104 90.00 90.00 90.00
Fractional coordinates of all 5 atoms:
Na  0.0000  0.0000  0.0000
Bi  0.5000  0.5000  0.5000
O  0.5000  0.0000  0.0000
Sn  0.0000  0.0000  0.5000
Sn  0.0000  0.5000  0.0000

The space-group type is P4/mmm. For the density of states at the Fermi level, the calculation gives 2.48 states/eV/f.u. Its uncorrected energy is -31.8672 eV/atom.



[7]
Be2AsPb | SCAN | single point on PBEsol structure

Lattice parameters (Å, degrees): 3.5679 3.7092 5.1301 90.00 90.00 90.00
Fractional coordinates of all 4 atoms:
Pb  0.5000  0.5000  0.0000
Be  0.0000  0.0000  0.0000
Be  0.0000  0.5000  0.5000
As  0.5000  0.0000  0.5000

The space-group type is Pmmm. The value obtained for the formation energy is 679 meV/atom. For the density of states at the Fermi level, the calculation gives 1.38 states/eV/f.u.



[8]
Be5Ni | SCAN | single point on PBEsol structure

Lattice parameters (Å, degrees): 2.8319 3.3702 5.3205 90.00 105.43 90.00
Fractional coordinates of all 6 atoms:
Ni  0.0000  0.5000  0.0000
Be  0.8313  0.0000  0.6627
Be  0.1687  0.0000  0.3373
Be  0.5000  0.0000  0.0000
Be  0.3330  0.5000  0.6660
Be  0.6670  0.5000  0.3340

The space-group type is Cmmm. The value obtained for the formation energy is -191 meV/atom. For the density of states at the Fermi level, the calculation gives 1.28 states/eV/f.u.